Entry 1:
A relaxed structure of Ac6HRh2Cl3. Source: Alexandria via LeMat-Bulk, functional PBE.

For the density of states at the Fermi level, the calculation gives 0.75 states/eV/atom. For the raw total energy, the calculation gives -5.103 eV per atom.

The space group is C2/m (No. 12) and the conventional cell measures 7.393, 12.806 and 8.371 Å, with angles of 90.00, 107.33 and 90.00 degrees. The asymmetric unit holds Ac at (0.231, 0.000, 0.202), Ac at (0.236, 0.332, 0.203), H at (0.000, 0.500, 0.000), Rh at (0.000, 0.166, 0.000), Cl at (0.000, 0.000, 0.500) and Cl at (0.000, 0.321, 0.500).



Entry 2:
A relaxed structure of Ac8HRu3Cl3. Source: Alexandria via LeMat-Bulk, functional PBE.

For the density of states at the Fermi level, the calculation gives 0.56 states/eV/atom. For the raw total energy, the calculation gives -5.400 eV per atom.

The space group is C2/m (No. 12) and the conventional cell measures 14.787, 8.529 and 9.284 Å, with angles of 90.00, 122.11 and 90.00 degrees. The asymmetric unit holds Ac at (0.017, 0.246, 0.297), Ac at (0.237, 0.000, 0.709), Ac at (0.237, 0.500, 0.703), H at (0.000, 0.500, 0.500), Ru at (0.000, 0.000, 0.500), Ru at (0.250, 0.250, 0.500), Cl at (0.000, 0.500, 0.000) and Cl at (0.250, 0.250, 0.000).



Entry 3:
A relaxed structure of Ac8HRu3Cl4. Source: Alexandria via LeMat-Bulk, functional PBE.

For the density of states at the Fermi level, the calculation gives 0.33 states/eV/atom. For the raw total energy, the calculation gives -5.415 eV per atom.

The space group is R-3m (No. 166, hexagonal axes) and the conventional cell measures 8.4428, 8.4428 and 24.2200 Å, with angles of 90.00, 90.00 and 120.00 degrees. The asymmetric unit holds Ac at (0.0000, 0.0000, 0.2359), Ac at (0.0030, 0.5015, 0.7665), H at (0.0000, 0.0000, 0.5000), Ru at (0.0000, 0.5000, 0.5000), Cl at (0.0000, 0.0000, 0.0000) and Cl at (0.0000, 0.5000, 0.0000).



Entry 4:
A relaxed structure of Ac2H2SCl. Source: Alexandria via LeMat-Bulk, functional PBE.

For the density of states at the Fermi level, the calculation gives 0.43 states/eV/atom. For the raw total energy, the calculation gives -4.875 eV per atom.

The space group is P-3m1 (No. 164) and the conventional cell measures 4.2005, 4.2005 and 8.2403 Å, with angles of 90.00, 90.00 and 120.00 degrees. The asymmetric unit holds Ac at (0.3333, 0.6667, 0.2763), H at (0.3333, 0.6667, 0.7676), S at (0.0000, 0.0000, 0.5000) and Cl at (0.0000, 0.0000, 0.0000).



Entry 5:
A relaxed structure of Ac2TeH2Cl. Source: Alexandria via LeMat-Bulk, functional PBE.

For the density of states at the Fermi level, the calculation gives 0.33 states/eV/atom. For the raw total energy, the calculation gives -4.518 eV per atom.

The space group is P-3m1 (No. 164) and the conventional cell measures 4.3379, 4.3379 and 8.5781 Å, with angles of 90.00, 90.00 and 120.00 degrees. The asymmetric unit holds Ac at (0.3333, 0.6667, 0.2420), Te at (0.0000, 0.0000, 0.5000), H at (0.3333, 0.6667, 0.7931) and Cl at (0.0000, 0.0000, 0.0000).



Entry 6:
A relaxed structure of Ac3HfCl2O6. Source: Alexandria via LeMat-Bulk, functional PBE.

For the density of states at the Fermi level, the calculation gives 0.44 states/eV/atom. For the raw total energy, the calculation gives -7.350 eV per atom.

The space group is C2/m (No. 12) and the conventional cell measures 12.533, 7.218 and 5.789 Å, with angles of 90.00, 97.83 and 90.00 degrees. The asymmetric unit holds Ac at (0.000, 0.000, 0.000), Ac at (0.250, 0.250, 0.500), Hf at (0.000, 0.500, 0.500), Cl at (0.218, 0.000, 0.886), O at (0.054, 0.262, 0.305) and O at (0.159, 0.500, 0.648).



Entry 7:
A relaxed structure of AcHgCl2. Source: Alexandria via LeMat-Bulk, functional PBE.

For the density of states at the Fermi level, the calculation gives 0.45 states/eV/atom. For the raw total energy, the calculation gives -3.465 eV per atom.

The space group is R-3m (No. 166, hexagonal axes) and the conventional cell measures 4.0743, 4.0743 and 32.7240 Å, with angles of 90.00, 90.00 and 120.00 degrees. The asymmetric unit holds Ac at (0.0000, 0.0000, 0.0000), Hg at (0.0000, 0.0000, 0.5000) and Cl at (0.0000, 0.0000, 0.2763).



Entry 8:
A relaxed structure of AcHg2Cl8. Source: Alexandria via LeMat-Bulk, functional PBE.

For the density of states at the Fermi level, the calculation gives 0.51 states/eV/atom. For the raw total energy, the calculation gives -2.868 eV per atom.

The space group is I422 (No. 97) and the conventional cell measures 7.206, 7.206 and 12.922 Å, with angles of 90.00, 90.00 and 90.00 degrees. The asymmetric unit holds Ac at (0.000, 0.000, 0.000), Hg at (0.000, 0.500, 0.250) and Cl at (0.178, 0.314, 0.885).